No. 1
Below is Mn2Au after structural relaxation, with properties calculated at the PBE level. Values from VASP.

## Properties
Total DFT energy (no corrections) (eV per atom): -6.722
Crystal system: tetragonal
Mass density (g cm⁻³): 8.50
Space group: P4/mmm (123)
Calculated volume (A^3/atom): 20.0
Formation enthalpy at 0 K (eV per atom): 0.48

```
&SYSTEM
  ibrav = 0, nat = 3, ntyp = 2
/
ATOMIC_SPECIES
Mn 54.94 Mn.upf
Au 196.97 Au.upf
CELL_PARAMETERS angstrom
4.4792 0.0000 0.0000
0.0000 4.4792 0.0000
0.0000 0.0000 2.9877
ATOMIC_POSITIONS crystal
Mn 0.5000 0.0000 0.5000
Mn 0.0000 0.5000 0.5000
Au 0.0000 0.0000 0.0000
```


No. 2
Below is Ba2PrBe2P4 after structural relaxation, with properties calculated at the PBE level. Values from VASP.

## Properties
Total DFT energy (no corrections) (eV per atom): -5.019
Crystal system: monoclinic
Mass density (g cm⁻³): 4.35
Space group: C2/m (12)
Calculated volume (A^3/atom): 23.6
Formation enthalpy at 0 K (eV per atom): -0.83

```
&SYSTEM
  ibrav = 0, nat = 9, ntyp = 4
/
ATOMIC_SPECIES
Be 9.01 Be.upf
Ba 137.33 Ba.upf
P 30.97 P.upf
Pr 140.91 Pr.upf
CELL_PARAMETERS angstrom
-2.2886 1.9313 2.7553
1.6368 -5.1439 4.9653
6.1873 4.7953 -1.2270
ATOMIC_POSITIONS crystal
Be 0.3294 0.0326 0.6589
Be 0.6706 0.9674 0.3411
Ba 0.1409 0.5811 0.2817
Ba 0.8591 0.4189 0.7183
P 0.4760 0.2587 0.9520
P 0.5240 0.7413 0.0480
P 0.7945 0.8603 0.5890
P 0.2055 0.1397 0.4110
Pr 0.0000 0.0000 0.0000
```


No. 3
Below is CuAu3F after structural relaxation, with properties calculated at the PBE level. Values from VASP.

## Properties
Total DFT energy (no corrections) (eV per atom): -2.670
Crystal system: cubic
Mass density (g cm⁻³): 10.31
Space group: Pm-3m (221)
Formation energy (no corrections) (eV/atom): 0.49
Calculated volume (A^3/atom): 21.7

```
&SYSTEM
  ibrav = 0, nat = 5, ntyp = 3
/
ATOMIC_SPECIES
Au 196.97 Au.upf
F 19.00 F.upf
Cu 63.55 Cu.upf
CELL_PARAMETERS angstrom
-1.6766 4.4573 0.2446
-4.4639 -1.6717 -0.1327
-0.0383 -0.2757 4.7604
ATOMIC_POSITIONS crystal
Au 0.5000 0.0000 0.0000
Au 0.0000 0.0000 0.5000
Au 0.0000 0.5000 0.0000
F 0.5000 0.5000 0.5000
Cu 0.0000 0.0000 0.0000
```


No. 4
Below is AlIn after structural relaxation, with properties calculated at the PBE level. Values from VASP.

## Properties
Total DFT energy (no corrections) (eV per atom): -3.118
Crystal system: trigonal
Mass density (g cm⁻³): 5.32
Space group: R-3m (166)
Calculated volume (A^3/atom): 22.1
Formation enthalpy at 0 K (eV per atom): 0.12

```
&SYSTEM
  ibrav = 0, nat = 4, ntyp = 2
/
ATOMIC_SPECIES
In 114.82 In.upf
Al 26.98 Al.upf
CELL_PARAMETERS angstrom
10.5704 0.0101 0.0059
10.1031 3.1079 0.0059
10.1031 1.5238 2.7087
ATOMIC_POSITIONS crystal
In 0.2559 0.2559 0.2559
In 0.4941 0.4941 0.4941
Al 0.7442 0.7442 0.7442
Al 0.0058 0.0058 0.0058
```


No. 5
Below is Ho6Mn2Te after structural relaxation, with properties calculated at the PBE level. Values from VASP.

## Properties
Total DFT energy (no corrections) (eV per atom): -5.641
Crystal system: orthorhombic
Mass density (g cm⁻³): 8.84
Space group: Immm (71)
Formation energy (no corrections) (eV/atom): -0.20
Calculated volume (A^3/atom): 25.6

```
&SYSTEM
  ibrav = 0, nat = 18, ntyp = 3
/
ATOMIC_SPECIES
Ho 164.93 Ho.upf
Te 127.60 Te.upf
Mn 54.94 Mn.upf
CELL_PARAMETERS angstrom
7.9296 0.4868 -2.8287
-4.2967 6.9238 -2.1716
-0.2397 -0.4868 8.4156
ATOMIC_POSITIONS crystal
Ho 0.4677 0.2815 0.1862
Ho 0.0953 0.2815 0.8138
Ho 0.3019 0.9912 0.6893
Ho 0.2178 0.2337 0.4515
Ho 0.2178 0.7663 0.9841
Ho 0.3019 0.6126 0.3107
Ho 0.5323 0.7185 0.8138
Ho 0.9047 0.7185 0.1862
Ho 0.7822 0.7663 0.5485
Ho 0.6981 0.3874 0.6893
Ho 0.7822 0.2337 0.0159
Ho 0.6981 0.0088 0.3107
Te 0.0000 0.5000 0.5000
Te 0.0000 0.0000 0.0000
Mn 0.5000 0.6045 0.1045
Mn 0.3903 0.0000 0.3903
Mn 0.6097 0.0000 0.6097
Mn 0.5000 0.3955 0.8955
```


No. 6
Below is K2SIO7 after structural relaxation, with properties calculated at the PBE level. Values from VASP.

## Properties
Total DFT energy (no corrections) (eV per atom): -5.079
Crystal system: monoclinic
Mass density (g cm⁻³): 2.99
Space group: P2_1/c (14)
Formation energy (no corrections) (eV/atom): -1.21
Calculated volume (A^3/atom): 17.6

```
&SYSTEM
  ibrav = 0, nat = 44, ntyp = 4
/
ATOMIC_SPECIES
O 16.00 O.upf
I 126.90 I.upf
K 39.10 K.upf
S 32.06 S.upf
CELL_PARAMETERS angstrom
-3.6468 -6.2221 0.1187
4.9284 -2.7949 4.9050
-6.7466 4.1855 12.1230
ATOMIC_POSITIONS crystal
O 0.3684 0.7585 0.0688
O 0.6610 0.7309 0.6196
O 0.1316 0.2585 0.5688
O 0.3390 0.2691 0.3804
O 0.6316 0.2415 0.9312
O 0.8287 0.9357 0.9971
O 0.6073 0.8948 0.7499
O 0.3287 0.5643 0.5029
O 0.2741 0.4604 0.8883
O 0.4425 0.9826 0.6043
O 0.5575 0.0174 0.3957
O 0.8927 0.3948 0.2499
O 0.7259 0.5396 0.1117
O 0.3927 0.1052 0.2501
O 0.0575 0.4826 0.1043
O 0.8684 0.7415 0.4312
O 0.4484 0.3483 0.6693
O 0.9425 0.5174 0.8957
O 0.1610 0.7691 0.8804
O 0.9484 0.1517 0.8307
O 0.1713 0.0643 0.0029
O 0.2259 0.9604 0.3883
O 0.0516 0.8483 0.1693
O 0.7741 0.0396 0.6117
O 0.6713 0.4357 0.4971
O 0.8390 0.2309 0.1196
O 0.5516 0.6517 0.3307
O 0.1073 0.6052 0.7501
I 0.1247 0.8218 0.0527
I 0.3753 0.3218 0.5527
I 0.8753 0.1782 0.9473
I 0.6247 0.6782 0.4473
K 0.3926 0.3235 0.0826
K 0.8926 0.1765 0.4174
K 0.6074 0.6765 0.9174
K 0.8380 0.3718 0.6785
K 0.1074 0.8235 0.5826
K 0.6620 0.8718 0.1785
K 0.1620 0.6282 0.3215
K 0.3380 0.1282 0.8215
S 0.6244 0.9147 0.6477
S 0.3756 0.0853 0.3523
S 0.8756 0.4147 0.1477
S 0.1244 0.5853 0.8523
```


No. 7
Below is FeCoCl6 after structural relaxation, with properties calculated at the PBE level. Values from VASP.

## Properties
Total DFT energy (no corrections) (eV per atom): -3.854
Crystal system: trigonal
Mass density (g cm⁻³): 3.33
Space group: R-3 (148)
Formation energy (no corrections) (eV/atom): -0.52
Calculated volume (A^3/atom): 20.4

```
&SYSTEM
  ibrav = 0, nat = 8, ntyp = 3
/
ATOMIC_SPECIES
Fe 55.84 Fe.upf
Cl 35.45 Cl.upf
Co 58.93 Co.upf
CELL_PARAMETERS angstrom
-0.1705 -5.2052 -2.9304
4.2495 -4.0958 0.9356
-1.5218 -5.1997 3.2319
ATOMIC_POSITIONS crystal
Fe 0.0000 0.0000 0.0000
Cl 0.7388 0.1140 0.7458
Cl 0.8860 0.5985 0.2542
Cl 0.5985 0.2612 0.2542
Cl 0.4015 0.7388 0.7458
Cl 0.1140 0.4015 0.7458
Cl 0.2612 0.8860 0.2542
Co 0.5000 0.5000 0.5000
```


No. 8
Below is NaLaSm4S8 after structural relaxation, with properties calculated at the PBE level. Values from VASP.

## Properties
Total DFT energy (no corrections) (eV per atom): -6.096
Crystal system: trigonal
Mass density (g cm⁻³): 4.15
Space group: R3m (160)
Formation energy (no corrections) (eV/atom): -1.94
Calculated volume (A^3/atom): 29.2

```
&SYSTEM
  ibrav = 0, nat = 14, ntyp = 4
/
ATOMIC_SPECIES
Na 22.99 Na.upf
S 32.06 S.upf
Sm 150.36 Sm.upf
La 138.91 La.upf
CELL_PARAMETERS angstrom
8.2772 0.0000 0.0000
4.1386 7.1683 0.0000
4.1386 2.3894 6.8819
ATOMIC_POSITIONS crystal
Na 0.3742 0.3742 0.8773
S 0.2426 0.2426 0.7321
S 0.2426 0.7828 0.7321
S 0.2282 0.7540 0.2639
S 0.2387 0.2387 0.2838
S 0.7540 0.2282 0.2639
S 0.7580 0.7580 0.7261
S 0.7828 0.2426 0.7321
S 0.7540 0.7540 0.2639
Sm 0.6258 0.6258 0.1227
Sm 0.4875 0.0042 0.5041
Sm 0.0042 0.0042 0.5041
Sm 0.0042 0.4875 0.5041
La 0.0033 0.0033 0.9900
```


No. 9
Below is DyGaOs after structural relaxation, with properties calculated at the PBE level. Values from VASP.

## Properties
Total DFT energy (no corrections) (eV per atom): -6.717
Crystal system: orthorhombic
Mass density (g cm⁻³): 12.77
Space group: Imma (74)
Calculated volume (A^3/atom): 18.3
Formation enthalpy at 0 K (eV per atom): -0.43

```
&SYSTEM
  ibrav = 0, nat = 6, ntyp = 3
/
ATOMIC_SPECIES
Dy 162.50 Dy.upf
Os 190.23 Os.upf
Ga 69.72 Ga.upf
CELL_PARAMETERS angstrom
4.7793 0.0000 2.6835
1.7464 4.3839 2.4873
0.1491 0.0160 5.3322
ATOMIC_POSITIONS crystal
Dy 0.8854 0.3646 0.3646
Dy 0.1146 0.6354 0.6354
Os 0.5000 0.0000 0.0000
Os 0.0000 0.0000 0.0000
Ga 0.5000 0.5000 0.0000
Ga 0.5000 0.0000 0.5000
```


No. 10
Below is Hf5AlZn2 after structural relaxation, with properties calculated at the PBE level. Values from VASP.

## Properties
Total DFT energy (no corrections) (eV per atom): -7.127
Crystal system: tetragonal
Mass density (g cm⁻³): 11.02
Space group: I4/mcm (140)
Calculated volume (A^3/atom): 19.8
Formation enthalpy at 0 K (eV per atom): -0.12

```
&SYSTEM
  ibrav = 0, nat = 16, ntyp = 3
/
ATOMIC_SPECIES
Al 26.98 Al.upf
Zn 65.41 Zn.upf
Hf 178.49 Hf.upf
CELL_PARAMETERS angstrom
-0.8272 6.9754 1.2691
-5.2899 0.2434 -4.7862
-1.0492 -4.9107 6.2320
ATOMIC_POSITIONS crystal
Al 0.7500 0.7500 0.5000
Al 0.2500 0.2500 0.5000
Zn 0.1331 0.3669 0.0001
Zn 0.8669 0.6331 0.9999
Zn 0.3669 0.8669 0.9999
Zn 0.6331 0.1331 0.0001
Hf 0.3125 0.8125 0.3127
Hf 0.0000 0.0000 0.0000
Hf 0.9996 0.4997 0.6873
Hf 0.5002 0.3124 0.3128
Hf 0.6875 0.1875 0.6873
Hf 0.8124 0.0003 0.3127
Hf 0.5000 0.5000 0.0000
Hf 0.4998 0.6876 0.6872
Hf 0.1876 0.9997 0.6872
Hf 0.0004 0.5003 0.3127
```


No. 11
Below is Cs3Mn5I12 after structural relaxation, with properties calculated at the PBE level. Values from VASP.

## Properties
Total DFT energy (no corrections) (eV per atom): -4.031
Crystal system: cubic
Mass density (g cm⁻³): 4.26
Space group: Ia-3d (230)
Formation energy (no corrections) (eV/atom): -0.68
Calculated volume (A^3/atom): 42.8

```
&SYSTEM
  ibrav = 0, nat = 80, ntyp = 3
/
ATOMIC_SPECIES
I 126.90 I.upf
Mn 54.94 Mn.upf
Cs 132.91 Cs.upf
CELL_PARAMETERS angstrom
16.4516 0.0000 0.0000
-5.4839 15.5107 0.0000
-5.4839 -7.7554 13.4327
ATOMIC_POSITIONS crystal
I 0.4135 0.1052 0.5967
I 0.3083 0.4135 0.8168
I 0.6832 0.4915 0.5967
I 0.3168 0.8083 0.4135
I 0.1052 0.6917 0.5085
I 0.6052 0.5967 0.9135
I 0.5085 0.3168 0.9033
I 0.5967 0.6052 0.4135
I 0.3168 0.5085 0.4033
I 0.1832 0.0865 0.6917
I 0.4033 0.3948 0.5865
I 0.0967 0.9135 0.1052
I 0.6917 0.1052 0.0085
I 0.0865 0.1832 0.1917
I 0.8948 0.5865 0.9033
I 0.6832 0.1917 0.5865
I 0.4915 0.6832 0.0967
I 0.9135 0.8168 0.8083
I 0.9033 0.0865 0.8948
I 0.1917 0.6832 0.0865
I 0.3948 0.4033 0.0865
I 0.8948 0.3083 0.4915
I 0.0085 0.4033 0.8168
I 0.5967 0.9915 0.6832
I 0.6917 0.5865 0.1832
I 0.0967 0.1832 0.4915
I 0.3083 0.8948 0.9915
I 0.5865 0.6917 0.6832
I 0.0085 0.6052 0.6917
I 0.8083 0.4915 0.3948
I 0.6052 0.0085 0.1917
I 0.4135 0.3083 0.3168
I 0.8168 0.9135 0.3083
I 0.9135 0.0967 0.6052
I 0.4033 0.0085 0.3168
I 0.4915 0.8083 0.8948
I 0.8083 0.3168 0.9135
I 0.9915 0.3948 0.3083
I 0.8168 0.9033 0.0085
I 0.9915 0.5967 0.1832
I 0.5085 0.1917 0.1052
I 0.1832 0.0967 0.9915
I 0.1917 0.5085 0.6052
I 0.5865 0.8948 0.4033
I 0.9033 0.8168 0.5085
I 0.1052 0.4135 0.0967
I 0.0865 0.9033 0.3948
I 0.3948 0.9915 0.8083
Mn 0.0000 0.5000 0.0000
Mn 0.5000 0.5000 0.0000
Mn 0.6250 0.7500 0.8750
Mn 0.0000 0.0000 0.0000
Mn 0.1250 0.7500 0.3750
Mn 0.2500 0.8750 0.1250
Mn 0.8750 0.6250 0.7500
Mn 0.3750 0.1250 0.7500
Mn 0.8750 0.2500 0.6250
Mn 0.5000 0.5000 0.5000
Mn 0.7500 0.6250 0.3750
Mn 0.1250 0.3750 0.2500
Mn 0.2500 0.3750 0.6250
Mn 0.5000 0.0000 0.5000
Mn 0.6250 0.8750 0.2500
Mn 0.0000 0.0000 0.5000
Mn 0.3750 0.2500 0.1250
Mn 0.0000 0.5000 0.5000
Mn 0.7500 0.1250 0.8750
Mn 0.5000 0.0000 0.0000
Cs 0.6250 0.3750 0.7500
Cs 0.3750 0.7500 0.6250
Cs 0.7500 0.3750 0.1250
Cs 0.1250 0.8750 0.7500
Cs 0.7500 0.8750 0.6250
Cs 0.6250 0.2500 0.3750
Cs 0.2500 0.6250 0.8750
Cs 0.2500 0.1250 0.3750
Cs 0.8750 0.7500 0.1250
Cs 0.8750 0.1250 0.2500
Cs 0.1250 0.2500 0.8750
Cs 0.3750 0.6250 0.2500
```


No. 12
Below is CsMgTi3 after structural relaxation, with properties calculated at the PBE level. Values from VASP.

## Properties
Total DFT energy (no corrections) (eV per atom): -3.359
Crystal system: cubic
Mass density (g cm⁻³): 4.00
Space group: Pm-3m (221)
Calculated volume (A^3/atom): 25.0
Formation enthalpy at 0 K (eV per atom): 1.87

```
&SYSTEM
  ibrav = 0, nat = 5, ntyp = 3
/
ATOMIC_SPECIES
Cs 132.91 Cs.upf
Ti 47.87 Ti.upf
Mg 24.30 Mg.upf
CELL_PARAMETERS angstrom
5.0004 0.0000 0.0000
0.0000 5.0004 0.0000
0.0000 0.0000 5.0004
ATOMIC_POSITIONS crystal
Cs 0.0000 0.0000 0.0000
Ti 0.0000 0.0000 0.5000
Ti 0.0000 0.5000 0.0000
Ti 0.5000 0.0000 0.0000
Mg 0.5000 0.5000 0.5000
```